Material: La2AlSiNi4
Method: DFT, PBE-GGA
State: optimized geometry

a = 4.131 Å, b = 4.131 Å, c = 9.759 Å
α = 90.00°, β = 90.00°, γ = 120.00°
Atoms (fractional coordinates):
Ni  0.667  0.333  0.456
Ni  0.333  0.667  0.953
Ni  0.667  0.333  0.047
Ni  0.333  0.667  0.544
La  0.333  0.667  0.252
La  0.667  0.333  0.748
Si  0.000  0.000  0.500
Al  0.000  0.000  0.000

**DFT total energy**: -5.745 eV/atom
**Crystal system**: trigonal